Record 1
Entry from OQMD via LeMat-Bulk: a relaxed structure of CdPIrO (PBE-GGA).

Values from the calculation:
Energy above the most stable polymorph in this dataset, meV per atom: 307.6
Total moment, μB per cell: 0.000

Cell: 3.9947 6.0199 5.7866 Å, 90.00 90.00 90.00°
With the nearest neighbours (Å) after each atom.
Space group Pmc2_1 (No. 26)
Unique sites:
Cd: 0.0000 0.1675 0.0000 (multiplicity 2)  2 O 2.29-2.30
P: 0.5000 0.3658 0.8105 (multiplicity 2)  2 Ir 2.24
Ir: 0.5000 0.2819 0.4330 (multiplicity 2)  2 O 2.07, 2 P 2.24
O: 0.0000 0.2009 0.3950 (multiplicity 2)  2 Ir 2.07, 2 Cd 2.29-2.30

Record 2
Entry from OQMD via LeMat-Bulk: a relaxed structure of CdPIrO (PBE-GGA).

Values from the calculation:
Energy above the most stable polymorph in this dataset, meV per atom: 95.5
Total moment, μB per cell: 0.002

Cell: 3.5634 6.4956 5.5058 Å, 90.00 90.00 90.00°
With the nearest neighbours (Å) after each atom.
Space group Pmc2_1 (No. 26)
Unique sites:
Cd: 0.0000 0.0577 0.0000 (multiplicity 2)  2 O 2.24
P: 0.0000 0.3432 0.4537 (multiplicity 2)  4 Ir 2.38-2.56, 1 Cd 2.62
Ir: 0.5000 0.4902 0.6833 (multiplicity 2)  2 O 2.07-2.09
O: 0.5000 0.2602 0.9428 (multiplicity 2)  2 Ir 2.07-2.09, 2 Cd 2.24

Record 3
Entry from OQMD via LeMat-Bulk: a relaxed structure of CdPIrO (PBE-GGA).

Values from the calculation:
Energy above the most stable polymorph in this dataset, meV per atom: 637.4
Total moment, μB per cell: 0.001

Cell: 4.2367 4.2367 8.3634 Å, 90.00 90.00 90.00°
With the nearest neighbours (Å) after each atom.
Space group P4/nmm (No. 129, origin choice 2)
Unique sites:
Cd: 0.2500 0.7500 0.0000 (multiplicity 2)  4 P 2.61
P: 0.2500 0.2500 0.1824 (multiplicity 2)  1 Ir 2.19
Ir: 0.2500 0.2500 0.4441 (multiplicity 2)  4 O 2.17, 1 P 2.19
O: 0.2500 0.7500 0.5000 (multiplicity 2)  4 Ir 2.17

Record 4
Entry from OQMD via LeMat-Bulk: a relaxed structure of CdPIrO (PBE-GGA).

Values from the calculation:
Energy above the most stable polymorph in this dataset, meV per atom: 0.0
Total moment, μB per cell: 0.001

Cell: 4.0199 4.0199 8.1178 Å, 90.00 90.00 90.00°
With the nearest neighbours (Å) after each atom.
Space group P4/nmm (No. 129, origin choice 2)
Unique sites:
Cd: 0.2500 0.2500 0.1085 (multiplicity 2)  4 O 2.19
P: 0.2500 0.2500 0.6566 (multiplicity 2)  4 Ir 2.38
Ir: 0.2500 0.7500 0.5000 (multiplicity 2)  4 P 2.38
O: 0.2500 0.7500 0.0000 (multiplicity 2)  4 Cd 2.19

Record 5
Entry from OQMD via LeMat-Bulk: a relaxed structure of CdIr2PdO6 (PBE-GGA).

Values from the calculation:
Energy, eV/atom: -6.10
Total moment, μB per cell: 0.024

Cell: 7.2019 10.3121 3.1727 Å, 90.00 90.00 90.00°
With the nearest neighbours (Å) after each atom.
Space group Cmmm (No. 65)
Unique sites:
Cd: 0.0000 0.0000 0.0000 (multiplicity 2)  8 O 2.37-2.52
Ir: 0.2500 0.2500 0.5000 (multiplicity 4)  6 O 1.97-2.03
Pd: 0.0000 0.5000 0.0000 (multiplicity 2)  4 O 2.01
O: 0.0000 0.1714 0.5000 (multiplicity 4)  2 Ir 1.97
O: 0.2058 0.3683 0.0000 (multiplicity 8)  1 Pd 2.01, 2 Ir 2.03

Record 6
Entry from OQMD via LeMat-Bulk: a relaxed structure of Sm2CdIrO6 (PBE-GGA).

Values from the calculation:
Energy, eV/atom: -7.00
Total moment, μB per cell: 2.008

Cell: 5.4682 5.9687 9.5894 Å, 90.00 124.43 90.00°
With the nearest neighbours (Å) after each atom.
Space group P2_1/c (No. 14)
Unique sites:
Sm: 0.2227 0.0777 0.2503 (multiplicity 4)  5 O 2.29-2.56
Cd: 0.5000 0.0000 0.0000 (multiplicity 2)  6 O 2.25-2.30
Ir: 0.0000 0.0000 0.5000 (multiplicity 2)  6 O 2.02-2.04
O: 0.0881 0.2062 0.9285 (multiplicity 4)  1 Ir 2.04
O: 0.2458 0.6767 0.9398 (multiplicity 4)  1 Ir 2.03, 1 Cd 2.25
O: 0.3690 0.0572 0.7325 (multiplicity 4)  1 Ir 2.02